Entry from Alexandria: a geometry-optimized YPBr2 structure (PBE-GGA).

The formation energy without anion corrections is -146 kJ/mol of formula units. The energy above the most stable polymorph in this dataset is 726 meV/atom. As for the crystal system: orthorhombic.

The structure belongs to space group Pmmm (No. 47); the cell edges are 3.553, 3.947 and 6.858 Å and the angles 90.00°, 90.00° and 90.00°. Symmetry generates all atoms from Y at (0.000, 0.000, 0.000), P at (0.000, 0.000, 0.500) and Br at (0.500, 0.500, 0.226).


Entry from Alexandria: a geometry-optimized Mn3HgBr structure (PBE-GGA).

The formation energy without anion corrections is 428 kJ/mol of formula units. The energy above the most stable polymorph in this dataset is 0 meV/atom. As for the crystal system: cubic.

The structure belongs to space group Pm-3m (No. 221); the cell edges are 5.198, 5.198 and 5.198 Å and the angles 90.00°, 90.00° and 90.00°. Symmetry generates all atoms from Mn at (0.000, 0.000, 0.500), Hg at (0.000, 0.000, 0.000) and Br at (0.500, 0.500, 0.500).


Entry from Alexandria: a geometry-optimized SrAc8Ge6 structure (PBE-GGA).

Its energy of formation is -0.555 eV per atom. As for the crystal system: trigonal.

The structure belongs to space group R-3 (No. 148, hexagonal axes); the cell edges are 9.5149, 9.5149 and 19.9950 Å and the angles 90.00°, 90.00° and 120.00°. Symmetry generates all atoms from Sr at (0.0000, 0.0000, 0.0000), Ac at (0.0000, 0.0000, 0.3340), Ac at (0.0009, 0.6711, 0.1009) and Ge at (0.0013, 0.6652, 0.9307).


Entry from Alexandria: a geometry-optimized CeGaIrN structure (PBE-GGA).

The formation energy without anion corrections is -297 kJ/mol of formula units. As for the crystal system: tetragonal.

The structure belongs to space group P4/nmm (No. 129, origin choice 2); the cell edges are 3.968, 3.968 and 8.624 Å and the angles 90.00°, 90.00° and 90.00°. Symmetry generates all atoms from Ce at (0.250, 0.250, 0.150), Ga at (0.250, 0.250, 0.670), Ir at (0.250, 0.750, 0.500) and N at (0.250, 0.250, 0.895).


Entry from Alexandria: a geometry-optimized Tb2Si7Ru12 structure (PBE-GGA).

The formation energy without anion corrections is -1198 kJ/mol of formula units. As for the crystal system: hexagonal.

The structure belongs to space group P-6 (No. 174); the cell edges are 9.6110, 9.6110 and 3.9403 Å and the angles 90.00°, 90.00° and 120.00°. Symmetry generates all atoms from Tb at (0.0000, 0.0000, 0.0000), Tb at (0.3333, 0.6667, 0.5000), Si at (0.0648, 0.6245, 0.0000), Si at (0.2604, 0.0429, 0.5000), Si at (0.6667, 0.3333, 0.5000), Ru at (0.0407, 0.7641, 0.5000), Ru at (0.0979, 0.3815, 0.0000), Ru at (0.4579, 0.2359, 0.0000) and Ru at (0.5138, 0.0572, 0.5000).


Entry from Alexandria: a geometry-optimized HfNbPS2 structure (PBE-GGA).

The formation energy without anion corrections is 63 kJ/mol of formula units. The energy above the most stable polymorph in this dataset is 54 meV/atom. As for the crystal system: tetragonal.

The structure belongs to space group P4/mmm (No. 123); the cell edges are 4.807, 4.807 and 5.015 Å and the angles 90.00°, 90.00° and 90.00°. Symmetry generates all atoms from Hf at (0.000, 0.000, 0.000), Nb at (0.500, 0.500, 0.500), P at (0.000, 0.000, 0.500) and S at (0.000, 0.500, 0.000).


Entry from Alexandria: a geometry-optimized Ba2NbV structure (PBE-GGA).

Its energy of formation is 1.498 eV per atom. The energy above the most stable polymorph in this dataset is 176 meV/atom. As for the crystal system: tetragonal.

The structure belongs to space group I-42d (No. 122); the cell edges are 9.149, 9.149 and 6.510 Å and the angles 90.00°, 90.00° and 90.00°. Symmetry generates all atoms from Ba at (0.243, 0.750, 0.125), Nb at (0.000, 0.000, 0.500) and V at (0.000, 0.000, 0.000).


Entry from Alexandria: a geometry-optimized SmPaZnGe structure (PBE-GGA).

Its energy of formation is -0.218 eV per atom. As for the crystal system: cubic.

The structure belongs to space group F-43m (No. 216); the cell edges are 7.174, 7.174 and 7.174 Å and the angles 90.00°, 90.00° and 90.00°. Symmetry generates all atoms from Sm at (0.000, 0.000, 0.000), Pa at (0.000, 0.000, 0.500), Zn at (0.250, 0.250, 0.750) and Ge at (0.250, 0.250, 0.250).


Entry from Alexandria: a geometry-optimized Pr8Os3RhCl4 structure (PBE-GGA).

The formation energy without anion corrections is -1293 kJ/mol of formula units. As for the crystal system: trigonal.

The structure belongs to space group R-3m (No. 166, hexagonal axes); the cell edges are 8.2555, 8.2555 and 22.8629 Å and the angles 90.00°, 90.00° and 120.00°. Symmetry generates all atoms from Pr at (0.0000, 0.0000, 0.2361), Pr at (0.0050, 0.5025, 0.7647), Os at (0.0000, 0.5000, 0.5000), Rh at (0.0000, 0.0000, 0.5000), Cl at (0.0000, 0.0000, 0.0000) and Cl at (0.0000, 0.5000, 0.0000).


Entry from Alexandria: a geometry-optimized RePb3 structure (PBE-GGA).

Its energy of formation is 0.637 eV per atom. The energy above the most stable polymorph in this dataset is 218 meV/atom. As for the crystal system: trigonal.

The structure belongs to space group R-3m (No. 166, hexagonal axes); the cell edges are 3.3068, 3.3068 and 32.3885 Å and the angles 90.00°, 90.00° and 120.00°. Symmetry generates all atoms from Re at (0.0000, 0.0000, 0.0000), Pb at (0.0000, 0.0000, 0.2655) and Pb at (0.0000, 0.0000, 0.5000).


Entry from Alexandria: a geometry-optimized Hf2ScCo structure (PBE-GGA).

Its energy of formation is -0.091 eV per atom. The energy above the most stable polymorph in this dataset is 121 meV/atom. As for the crystal system: tetragonal.

The structure belongs to space group P4/mmm (No. 123); the cell edges are 3.211, 3.211 and 7.475 Å and the angles 90.00°, 90.00° and 90.00°. Symmetry generates all atoms from Hf at (0.000, 0.000, 0.203), Sc at (0.500, 0.500, 0.500) and Co at (0.500, 0.500, 0.000).


Magnetic moment values (in μB/cell) by entry order: 1.2; 14.1; 0.0; 1.5; 0.0; 2.1; 25.1; 5.6; 0.0; 0.5; 0.0.
Volume values (in Å³ per atom) by entry order: 24.05; 28.09; 34.84; 16.98; 15.01; 23.18; 34.06; 23.08; 28.11; 25.56; 19.27.